No. 1
A geometry-optimized Ce3U2Se8 structure. Source: the Alexandria database, functional PBE.

```
Ce3U2Se8
1.0
7.409 -4.175 0.000
7.409 4.175 0.000
-2.395 0.000 6.678
Ce U Se
3 2 8
Direct
0.000 0.000 0.000
0.260 0.740 0.500
0.740 0.260 0.500
0.259 0.259 0.837
0.741 0.741 0.163
0.109 0.636 0.084
0.121 0.121 0.430
0.364 0.891 0.916
0.388 0.388 0.617
0.612 0.612 0.383
0.636 0.109 0.084
0.879 0.879 0.570
0.891 0.364 0.916
```

Fermi-level density of states: 27.733 states/eV per cell
Raw formation energy: -1.41 eV per atom

---

No. 2
A geometry-optimized AlPtO structure. Source: the Alexandria database, functional PBE.

```
AlPtO
1.0
1.431 0.826 6.130
-1.431 0.826 6.130
0.000 -1.652 6.130
Al Pt O
1 1 1
Direct
0.000 0.000 0.000
0.873 0.873 0.873
0.705 0.705 0.705
```

Fermi-level density of states: 1.093 states/eV per cell
Raw formation energy: -1.62 eV per atom

---

No. 3
A geometry-optimized PmY6Sc2 structure. Source: the Alexandria database, functional PBE.

```
PmY6Sc2
1.0
10.522 0.000 0.000
0.000 10.522 0.000
0.000 0.000 4.982
Pm Y Sc
2 12 4
Direct
0.000 0.000 0.000
0.500 0.500 0.500
0.002 0.331 0.000
0.167 0.167 0.500
0.169 0.502 0.500
0.331 0.002 0.000
0.333 0.667 0.000
0.498 0.831 0.500
0.502 0.169 0.500
0.667 0.333 0.000
0.669 0.998 0.000
0.831 0.498 0.500
0.833 0.833 0.500
0.998 0.669 0.000
0.167 0.833 0.500
0.333 0.333 0.000
0.667 0.667 0.000
0.833 0.167 0.500
```

ΔE_f: 45 meV per atom
Fermi-level density of states: 25.255 states/eV per cell

---

No. 4
A geometry-optimized PmAsIr2 structure. Source: the Alexandria database, functional PBE.

```
PmAsIr2
1.0
2.136 1.233 5.108
-2.136 1.233 5.108
0.000 -2.466 5.108
Pm As Ir
1 1 2
Direct
0.000 0.000 0.000
0.500 0.500 0.500
0.206 0.206 0.206
0.794 0.794 0.794
```

ΔE_f: -445 meV per atom
Fermi-level density of states: 2.777 states/eV per cell

---

Quick rundown of volume, same order as above: 413.11, 43.48, 551.57, 80.73 Å³ per cell
Quick rundown of VASP energy, same order as above: -86.6, -19.6, -111.6, -28.9 eV per cell
Quick rundown of magnetic moment, same order as above: 8.0, 0.0, 0.0, 0.0 μB per cell